Record 1
Computed, not measured: TaCrI2N after structural relaxation at the PBE-GGA level of DFT.

POSCAR file:
```
TaCrI2N
1.0
-3.611 3.321 2.906
-4.303 -1.817 -3.270
-0.674 -2.937 2.519
I Cr Ta N
2 1 1 1
direct
0.500 0.000 0.000
0.000 0.500 0.000
0.500 0.500 0.500
0.000 0.000 0.000
0.000 0.000 0.500
```

Results
The energy above the most stable polymorph in this dataset is 0.0 meV/atom. As for the space group: P4/mmm. The value obtained for the uncorrected formation energy is 0.41 eV/atom.

=====

Record 2
Computed, not measured: CrTcI2N after structural relaxation at the PBE-GGA level of DFT.

POSCAR file:
```
CrTcI2N
1.0
5.593 0.000 0.000
0.000 5.593 0.000
0.000 0.000 3.761
I Tc Cr N
2 1 1 1
direct
0.500 0.000 0.000
0.000 0.500 0.000
0.000 0.000 0.000
0.500 0.500 0.500
0.000 0.000 0.500
```

Results
The energy above the most stable polymorph in this dataset is 0.0 meV/atom. As for the space group: P4/mmm. The value obtained for the uncorrected formation energy is 0.57 eV/atom.

=====

Record 3
Computed, not measured: CrTcI2N after structural relaxation at the PBE-GGA level of DFT.

POSCAR file:
```
CrTcI2N
1.0
-3.072 4.177 2.250
-4.744 -2.680 -1.503
-0.028 -1.733 3.179
Tc Cr I N
1 1 2 1
direct
0.500 0.500 0.500
0.000 0.000 0.000
0.000 0.500 0.000
0.500 0.000 0.000
0.000 0.000 0.500
```

Results
The energy above the most stable polymorph in this dataset is 232.5 meV/atom. As for the space group: P4/mmm. The value obtained for the uncorrected formation energy is 0.80 eV/atom.

=====

Record 4
Computed, not measured: CrTcIN2 after structural relaxation at the PBE-GGA level of DFT.

POSCAR file:
```
CrTcIN2
1.0
-3.354 1.802 0.849
-1.987 -3.145 -1.175
0.211 -2.145 5.384
N Cr I Tc
2 1 1 1
direct
0.500 0.000 0.000
0.000 0.500 0.000
0.500 0.500 0.500
0.000 0.000 0.500
0.000 0.000 0.000
```

Results
The energy above the most stable polymorph in this dataset is 0.0 meV/atom. As for the space group: P4/mmm. The value obtained for the uncorrected formation energy is 0.83 eV/atom.

=====

Record 5
Computed, not measured: CrTcIN2 after structural relaxation at the PBE-GGA level of DFT.

POSCAR file:
```
CrTcIN2
1.0
3.779 0.000 0.000
0.000 3.779 0.000
0.000 0.000 5.559
Cr N Tc I
1 2 1 1
direct
0.000 0.000 0.000
0.000 0.500 0.000
0.500 0.000 0.000
0.500 0.500 0.500
0.000 0.000 0.500
```

Results
The energy above the most stable polymorph in this dataset is 416.9 meV/atom. As for the space group: P4/mmm. The value obtained for the uncorrected formation energy is 1.25 eV/atom.

=====

Record 6
Computed, not measured: CrTeIN2 after structural relaxation at the PBE-GGA level of DFT.

POSCAR file:
```
CrTeIN2
1.0
3.974 0.000 0.000
0.000 3.974 0.000
0.000 0.000 7.418
Te Cr N I
1 1 2 1
direct
0.000 0.000 0.500
0.500 0.500 0.500
0.500 0.000 0.000
0.000 0.500 0.000
0.000 0.000 0.000
```

Results
The energy above the most stable polymorph in this dataset is 888.1 meV/atom. As for the space group: P4/mmm. The value obtained for the uncorrected formation energy is 1.78 eV/atom.

=====

Record 7
Computed, not measured: CrTeIN2 after structural relaxation at the PBE-GGA level of DFT.

POSCAR file:
```
CrTeIN2
1.0
3.962 0.000 0.000
0.000 3.962 0.000
0.000 0.000 5.761
I Cr N Te
1 1 2 1
direct
0.000 0.000 0.500
0.000 0.000 0.000
0.000 0.500 0.000
0.500 0.000 0.000
0.500 0.500 0.500
```

Results
The energy above the most stable polymorph in this dataset is 277.4 meV/atom. As for the space group: P4/mmm. The value obtained for the uncorrected formation energy is 1.16 eV/atom.

=====

Record 8
Computed, not measured: CrTeIN2 after structural relaxation at the PBE-GGA level of DFT.

POSCAR file:
```
CrTeIN2
1.0
4.046 0.000 0.000
0.000 4.046 0.000
0.000 0.000 7.652
Te N Cr I
1 2 1 1
direct
0.000 0.000 0.000
0.000 0.500 0.000
0.500 0.000 0.000
0.500 0.500 0.500
0.000 0.000 0.500
```

Results
The energy above the most stable polymorph in this dataset is 535.8 meV/atom. As for the space group: P4/mmm. The value obtained for the uncorrected formation energy is 1.42 eV/atom.

=====

Record 9
Computed, not measured: CrTeIN2 after structural relaxation at the PBE-GGA level of DFT.

POSCAR file:
```
CrTeIN2
1.0
-2.672 -2.919 0.794
3.023 -2.621 0.532
0.188 1.365 5.653
Cr I N Te
1 1 2 1
direct
0.000 0.000 0.000
0.500 0.500 0.500
0.500 0.000 0.000
0.000 0.500 0.000
0.000 0.000 0.500
```

Results
The energy above the most stable polymorph in this dataset is 0.0 meV/atom. As for the space group: P4/mmm. The value obtained for the uncorrected formation energy is 0.89 eV/atom.

=====

Record 10
Computed, not measured: TiCrIN2 after structural relaxation at the PBE-GGA level of DFT.

POSCAR file:
```
TiCrIN2
1.0
3.829 0.000 0.000
0.000 3.829 0.000
0.000 0.000 5.451
N Cr I Ti
2 1 1 1
direct
0.500 0.000 0.000
0.000 0.500 0.000
0.000 0.000 0.000
0.000 0.000 0.500
0.500 0.500 0.500
```

Results
The energy above the most stable polymorph in this dataset is 249.1 meV/atom. As for the space group: P4/mmm. The value obtained for the uncorrected formation energy is 0.74 eV/atom.

=====

Record 11
Computed, not measured: TiCrIN2 after structural relaxation at the PBE-GGA level of DFT.

POSCAR file:
```
TiCrIN2
1.0
3.940 0.000 0.000
0.000 3.940 0.000
0.000 0.000 5.901
Cr I Ti N
1 1 1 2
direct
0.500 0.500 0.500
0.000 0.000 0.500
0.000 0.000 0.000
0.000 0.500 0.000
0.500 0.000 0.000
```

Results
The energy above the most stable polymorph in this dataset is 0.0 meV/atom. As for the space group: P4/mmm. The value obtained for the uncorrected formation energy is 0.49 eV/atom.

=====

Record 12
Computed, not measured: TlCrIN2 after structural relaxation at the PBE-GGA level of DFT.

POSCAR file:
```
TlCrIN2
1.0
4.016 0.000 0.000
0.000 4.016 0.000
0.000 0.000 5.537
Tl Cr N I
1 1 2 1
direct
0.500 0.500 0.500
0.000 0.000 0.000
0.500 0.000 0.000
0.000 0.500 0.000
0.000 0.000 0.500
```

Results
The energy above the most stable polymorph in this dataset is 0.0 meV/atom. As for the space group: P4/mmm. The value obtained for the uncorrected formation energy is 0.91 eV/atom.

=====

Record 13
Computed, not measured: TlCrIN2 after structural relaxation at the PBE-GGA level of DFT.

POSCAR file:
```
TlCrIN2
1.0
-1.202 3.183 2.538
-1.929 -2.776 2.567
5.770 -0.686 3.593
N Cr I Tl
2 1 1 1
direct
0.000 0.500 0.000
0.500 0.000 0.000
0.500 0.500 0.500
0.000 0.000 0.500
0.000 0.000 0.000
```

Results
The energy above the most stable polymorph in this dataset is 1418.6 meV/atom. As for the space group: P4/mmm. The value obtained for the uncorrected formation energy is 2.33 eV/atom.

=====

Record 14
Computed, not measured: VCrI2N after structural relaxation at the PBE-GGA level of DFT.

POSCAR file:
```
VCrI2N
1.0
5.613 0.000 0.000
0.000 5.613 0.000
0.000 0.000 3.691
Cr I N V
1 2 1 1
direct
0.500 0.500 0.500
0.500 0.000 0.000
0.000 0.500 0.000
0.000 0.000 0.500
0.000 0.000 0.000
```

Results
The energy above the most stable polymorph in this dataset is 0.0 meV/atom. As for the space group: P4/mmm. The value obtained for the uncorrected formation energy is 0.28 eV/atom.

=====

Record 15
Computed, not measured: VCrI2N after structural relaxation at the PBE-GGA level of DFT.

POSCAR file:
```
VCrI2N
1.0
5.541 0.000 0.000
0.000 5.541 0.000
0.000 0.000 3.600
N I V Cr
1 2 1 1
direct
0.000 0.000 0.500
0.000 0.500 0.000
0.500 0.000 0.000
0.500 0.500 0.500
0.000 0.000 0.000
```

Results
The energy above the most stable polymorph in this dataset is 396.1 meV/atom. As for the space group: P4/mmm. The value obtained for the uncorrected formation energy is 0.68 eV/atom.

=====

Record 16
Computed, not measured: VCrIN2 after structural relaxation at the PBE-GGA level of DFT.

POSCAR file:
```
VCrIN2
1.0
3.815 0.000 0.000
0.000 3.815 0.000
0.000 0.000 5.638
N I Cr V
2 1 1 1
direct
0.500 0.000 0.000
0.000 0.500 0.000
0.000 0.000 0.500
0.000 0.000 0.000
0.500 0.500 0.500
```

Results
The energy above the most stable polymorph in this dataset is 221.7 meV/atom. As for the space group: P4/mmm. The value obtained for the uncorrected formation energy is 0.84 eV/atom.

=====

Record 17
Computed, not measured: VCrIN2 after structural relaxation at the PBE-GGA level of DFT.

POSCAR file:
```
VCrIN2
1.0
-1.706 -3.235 1.231
3.401 -1.311 1.267
-0.951 2.428 5.066
Cr N V I
1 2 1 1
direct
0.500 0.500 0.500
0.500 0.000 0.000
0.000 0.500 0.000
0.000 0.000 0.000
0.000 0.000 0.500
```

Results
The energy above the most stable polymorph in this dataset is 0.0 meV/atom. As for the space group: P4/mmm. The value obtained for the uncorrected formation energy is 0.62 eV/atom.

=====

Record 18
Computed, not measured: CrWIN2 after structural relaxation at the PBE-GGA level of DFT.

POSCAR file:
```
CrWIN2
1.0
3.854 0.000 0.000
0.000 3.854 0.000
0.000 0.000 5.474
Cr N I W
1 2 1 1
direct
0.000 0.000 0.000
0.000 0.500 0.000
0.500 0.000 0.000
0.000 0.000 0.500
0.500 0.500 0.500
```

Results
The energy above the most stable polymorph in this dataset is 879.9 meV/atom. As for the space group: P4/mmm. The value obtained for the uncorrected formation energy is 1.57 eV/atom.

=====

Record 19
Computed, not measured: CrWIN2 after structural relaxation at the PBE-GGA level of DFT.

POSCAR file:
```
CrWIN2
1.0
3.961 0.000 0.000
0.000 3.961 0.000
0.000 0.000 5.853
I N W Cr
1 2 1 1
direct
0.000 0.000 0.500
0.000 0.500 0.000
0.500 0.000 0.000
0.000 0.000 0.000
0.500 0.500 0.500
```

Results
The energy above the most stable polymorph in this dataset is 0.0 meV/atom. As for the space group: P4/mmm. The value obtained for the uncorrected formation energy is 0.69 eV/atom.

=====

Record 20
Computed, not measured: YCrIN2 after structural relaxation at the PBE-GGA level of DFT.

POSCAR file:
```
YCrIN2
1.0
-3.339 -2.778 0.232
2.584 -3.220 -1.366
1.522 -1.328 6.008
Cr I N Y
1 1 2 1
direct
0.500 0.500 0.500
0.000 0.000 0.500
0.000 0.500 0.000
0.500 0.000 0.000
0.000 0.000 0.000
```

Results
The energy above the most stable polymorph in this dataset is 527.1 meV/atom. As for the space group: P4/mmm. The value obtained for the uncorrected formation energy is 0.88 eV/atom.